[1]
Compound: Ca3Si4Tc4
Source: the Alexandria database
Functional: PBE
Structure: relaxed

Results
Its uncorrected formation energy is -0.3877 eV/atom. Its symmetry is I-43m (217). The value obtained for the volume is 19.63 Å³ per atom.

Lattice parameters (Å, degrees): 6.5463 6.5463 6.5463 109.47 109.47 109.47
Sites, in units of the cell vectors:
Ca 0.0000 0.5000 0.5000
Ca 0.5000 0.0000 0.5000
Ca 0.5000 0.5000 0.0000
Si 0.0000 0.0000 0.3649
Si 0.0000 0.3649 0.0000
Si 0.3649 0.0000 0.0000
Si 0.6351 0.6351 0.6351
Tc 0.0000 0.0000 0.7312
Tc 0.0000 0.7312 0.0000
Tc 0.2688 0.2688 0.2688
Tc 0.7312 0.0000 0.0000

=====

[2]
Compound: Ca2SiTc
Source: the Alexandria database
Functional: PBE
Structure: relaxed

Results
Its uncorrected formation energy is 0.5813 eV/atom. Its symmetry is I-42d (122). The value obtained for the volume is 21.54 Å³ per atom.

Lattice parameters (Å, degrees): 8.0357 8.0357 5.3360 90.00 90.00 90.00
Sites, in units of the cell vectors:
Ca 0.2471 0.2500 0.1250
Ca 0.2500 0.7471 0.3750
Ca 0.2500 0.7529 0.8750
Ca 0.2529 0.2500 0.6250
Ca 0.7471 0.7500 0.6250
Ca 0.7500 0.2471 0.8750
Ca 0.7500 0.2529 0.3750
Ca 0.7529 0.7500 0.1250
Si 0.0000 0.0000 0.5000
Si 0.0000 0.5000 0.7500
Si 0.5000 0.0000 0.2500
Si 0.5000 0.5000 0.0000
Tc 0.0000 0.0000 0.0000
Tc 0.0000 0.5000 0.2500
Tc 0.5000 0.0000 0.7500
Tc 0.5000 0.5000 0.5000

=====

[3]
Compound: CaSiTc2
Source: the Alexandria database
Functional: PBE
Structure: relaxed

Results
Its uncorrected formation energy is 0.2208 eV/atom. Its symmetry is F-43m (216). The value obtained for the volume is 16.15 Å³ per atom.

Lattice parameters (Å, degrees): 6.3697 6.3697 6.3697 90.00 90.00 90.00
Sites, in units of the cell vectors:
Ca 0.0000 0.0000 0.0000
Ca 0.0000 0.5000 0.5000
Ca 0.5000 0.0000 0.5000
Ca 0.5000 0.5000 0.0000
Si 0.2500 0.2500 0.2500
Si 0.2500 0.7500 0.7500
Si 0.7500 0.2500 0.7500
Si 0.7500 0.7500 0.2500
Tc 0.0000 0.0000 0.5000
Tc 0.0000 0.5000 0.0000
Tc 0.2500 0.2500 0.7500
Tc 0.2500 0.7500 0.2500
Tc 0.5000 0.0000 0.0000
Tc 0.5000 0.5000 0.5000
Tc 0.7500 0.2500 0.2500
Tc 0.7500 0.7500 0.7500

=====

[4]
Compound: Ca2SiTc
Source: the Alexandria database
Functional: PBE
Structure: relaxed

Results
Its uncorrected formation energy is 0.3311 eV/atom. Its symmetry is Cmmm (65). The value obtained for the volume is 20.37 Å³ per atom.

Lattice parameters (Å, degrees): 6.1407 9.0786 2.9229 90.00 90.00 90.00
Sites, in units of the cell vectors:
Ca 0.2500 0.2500 0.0000
Ca 0.2500 0.7500 0.0000
Ca 0.7500 0.2500 0.0000
Ca 0.7500 0.7500 0.0000
Si 0.0000 0.0000 0.5000
Si 0.5000 0.5000 0.5000
Tc 0.0000 0.5000 0.5000
Tc 0.5000 0.0000 0.5000

=====

[5]
Compound: CaSiTc2
Source: the Alexandria database
Functional: PBE
Structure: relaxed

Results
Its uncorrected formation energy is 0.4875 eV/atom. Its symmetry is I4/mmm (139). The value obtained for the volume is 16.65 Å³ per atom.

Lattice parameters (Å, degrees): 3.9203 3.9203 8.6685 90.00 90.00 90.00
Sites, in units of the cell vectors:
Ca 0.0000 0.0000 0.0000
Ca 0.5000 0.5000 0.5000
Si 0.0000 0.0000 0.5000
Si 0.5000 0.5000 0.0000
Tc 0.0000 0.5000 0.2500
Tc 0.0000 0.5000 0.7500
Tc 0.5000 0.0000 0.2500
Tc 0.5000 0.0000 0.7500

=====

[6]
Compound: Ca2SiTc
Source: the Alexandria database
Functional: PBE
Structure: relaxed

Results
Its uncorrected formation energy is 0.3032 eV/atom. Its symmetry is P4/mmm (123). The value obtained for the volume is 20.59 Å³ per atom.

Lattice parameters (Å, degrees): 4.3033 4.3033 4.4477 90.00 90.00 90.00
Sites, in units of the cell vectors:
Ca 0.0000 0.5000 0.0000
Ca 0.5000 0.0000 0.0000
Si 0.0000 0.0000 0.5000
Tc 0.5000 0.5000 0.5000

=====

[7]
Compound: CaSiTc3
Source: the Alexandria database
Functional: PBE
Structure: relaxed

Results
Its uncorrected formation energy is 2.6230 eV/atom. Its symmetry is Pm-3m (221). The value obtained for the volume is 19.95 Å³ per atom. The energy above the most stable polymorph in this dataset comes out at 963.9 kJ/mol of formula units.

Lattice parameters (Å, degrees): 4.6376 4.6376 4.6376 90.00 90.00 90.00
Sites, in units of the cell vectors:
Ca 0.0000 0.0000 0.0000
Si 0.5000 0.5000 0.5000
Tc 0.0000 0.0000 0.5000
Tc 0.0000 0.5000 0.0000
Tc 0.5000 0.0000 0.0000

=====

[8]
Compound: CaSiTc2
Source: the Alexandria database
Functional: PBE
Structure: relaxed

Results
Its uncorrected formation energy is 0.1658 eV/atom. Its symmetry is C2/m (12). The value obtained for the volume is 18.14 Å³ per atom.

Lattice parameters (Å, degrees): 9.1491 3.1141 5.2703 90.00 104.91 90.00
Sites, in units of the cell vectors:
Ca 0.0000 0.0000 0.0000
Ca 0.5000 0.5000 0.0000
Si 0.0000 0.5000 0.5000
Si 0.5000 0.0000 0.5000
Tc 0.2206 0.0000 0.6624
Tc 0.2794 0.5000 0.3376
Tc 0.7206 0.5000 0.6624
Tc 0.7794 0.0000 0.3376

=====

no.,energy (eV/atom),density (g/cm³),magnetic moment (μB/atom)
1,-6.68,4.80,0.000
2,-4.37,3.98,0.006
3,-6.82,6.79,0.000
4,-4.62,4.20,0.000
5,-6.55,6.59,0.000
6,-4.64,4.16,0.336
7,-5.08,6.03,0.814
8,-6.87,6.05,0.000